No. 1
DFT (GGA-PBE) results for a geometry-optimized LaRh3Pb structure.

Cell: 4.9697 4.9697 4.9697 Å, 90.00 90.00 90.00°
With the nearest neighbours (Å) after each atom.
Element x y z (fractional)
La (0.0000, 0.0000, 0.0000)  12 Rh 3.51
Rh (0.0000, 0.5000, 0.5000)  2 Pb 2.48
Rh (0.5000, 0.0000, 0.5000)  2 Pb 2.48
Rh (0.5000, 0.5000, 0.0000)  2 Pb 2.48
Pb (0.5000, 0.5000, 0.5000)  6 Rh 2.48

Summary:
DFT formation energy, eV per atom: 0.367
Space group: No. 221


No. 2
DFT (GGA-PBE) results for a geometry-optimized Pr2YCd structure.

Cell: 3.7563 3.7563 9.0713 Å, 90.00 90.00 90.00°
With the nearest neighbours (Å) after each atom.
Element x y z (fractional)
Pr (0.0000, 0.0000, 0.2261)  4 Cd 3.36, 4 Y 3.64, 4 Pr 3.76
Pr (0.0000, 0.0000, 0.7739)  4 Cd 3.36, 4 Y 3.64, 4 Pr 3.76
Y (0.5000, 0.5000, 0.5000)  8 Pr 3.64, 4 Y 3.76
Cd (0.5000, 0.5000, 0.0000)  8 Pr 3.36, 4 Cd 3.76

Summary:
DFT formation energy, eV per atom: -0.136
Space group: No. 123


No. 3
DFT (GGA-PBE) results for a geometry-optimized Ac3Pm2UN6 structure.

Cell: 6.3498 6.3498 6.5072 Å, 99.34 99.34 119.86°
With the nearest neighbours (Å) after each atom.
Element x y z (fractional)
Ac (0.0000, 0.0000, 0.0000)  6 N 2.70-2.91
Ac (0.3315, 0.6685, 0.0000)  6 N 2.68-2.95
Ac (0.6685, 0.3315, 0.0000)  6 N 2.68-2.95
Pm (0.1664, 0.8336, 0.5000)  6 N 2.58-2.60
Pm (0.8336, 0.1664, 0.5000)  6 N 2.58-2.60
U (0.5000, 0.5000, 0.5000)  6 N 2.27-2.33
N (0.1346, 0.4310, 0.2936)  1 U 2.27
N (0.2718, 0.2718, 0.7169)  1 U 2.33, 2 Pm 2.60
N (0.4310, 0.1346, 0.2936)  1 U 2.27
N (0.5690, 0.8654, 0.7064)  1 U 2.27
N (0.7282, 0.7282, 0.2831)  1 U 2.33, 2 Pm 2.60
N (0.8654, 0.5690, 0.7064)  1 U 2.27

Summary:
Space group: No. 12
Uncorrected formation energy, meV per atom: -1283


No. 4
DFT (GGA-PBE) results for a geometry-optimized Nd2MgPb structure.

Cell: 12.1302 12.1302 12.1302 Å, 16.86 16.86 16.86°
With the nearest neighbours (Å) after each atom.
Element x y z (fractional)
Nd (0.0915, 0.0915, 0.0915)  1 Pb 3.28, 3 Mg 3.39, 6 Nd 3.56
Nd (0.9085, 0.9085, 0.9085)  1 Pb 3.28, 3 Mg 3.39, 6 Nd 3.56
Mg (0.5000, 0.5000, 0.5000)  6 Nd 3.39, 6 Mg 3.56
Pb (0.0000, 0.0000, 0.0000)  2 Nd 3.28, 6 Pb 3.56

Summary:
DFT formation energy, eV per atom: 0.051
Space group: No. 166


No. 5
DFT (GGA-PBE) results for a geometry-optimized Tb12PrTm6 structure.

Cell: 9.2685 9.2685 9.2685 Å, 107.57 107.57 107.57°
With the nearest neighbours (Å) after each atom.
Element x y z (fractional)
Tb (0.0000, 0.3888, 0.6112)  4 Tm 3.26-3.39, 3 Tb 3.33-3.62
Tb (0.0000, 0.6112, 0.3888)  4 Tm 3.26-3.39, 3 Tb 3.33-3.62
Tb (0.1296, 0.1296, 0.3494)  1 Tm 3.08, 2 Tb 3.29
Tb (0.1296, 0.3494, 0.1296)  1 Tm 3.08, 2 Tb 3.29
Tb (0.3494, 0.1296, 0.1296)  1 Tm 3.08, 2 Tb 3.29
Tb (0.3888, 0.0000, 0.6112)  4 Tm 3.26-3.39, 3 Tb 3.33-3.62
Tb (0.3888, 0.6112, 0.0000)  4 Tm 3.26-3.39, 3 Tb 3.33-3.62
Tb (0.6112, 0.0000, 0.3888)  4 Tm 3.26-3.39, 3 Tb 3.33-3.62
Tb (0.6112, 0.3888, 0.0000)  4 Tm 3.26-3.39, 3 Tb 3.33-3.62
Tb (0.6506, 0.8704, 0.8704)  1 Tm 3.08, 2 Tb 3.29
Tb (0.8704, 0.6506, 0.8704)  1 Tm 3.08, 2 Tb 3.29
Tb (0.8704, 0.8704, 0.6506)  1 Tm 3.08, 2 Tb 3.29
Pr (0.5000, 0.5000, 0.5000)  6 Tb 3.55
Tm (0.1894, 0.1894, 0.7676)  5 Tb 3.08-3.39
Tm (0.1894, 0.7676, 0.1894)  5 Tb 3.08-3.39
Tm (0.2324, 0.8106, 0.8106)  5 Tb 3.08-3.39
Tm (0.7676, 0.1894, 0.1894)  5 Tb 3.08-3.39
Tm (0.8106, 0.2324, 0.8106)  5 Tb 3.08-3.39
Tm (0.8106, 0.8106, 0.2324)  5 Tb 3.08-3.39

Summary:
DFT formation energy, eV per atom: 0.430
Space group: No. 166


No. 6
DFT (GGA-PBE) results for a geometry-optimized CeSmZnGa structure.

Cell: 5.1487 5.1487 5.1487 Å, 60.00 60.00 60.00°
With the nearest neighbours (Å) after each atom.
Element x y z (fractional)
Ce (0.0000, 0.0000, 0.0000)  4 Zn 3.15, 4 Ga 3.15
Sm (0.5000, 0.5000, 0.5000)  4 Zn 3.15, 4 Ga 3.15
Zn (0.2500, 0.2500, 0.2500)  4 Sm 3.15, 4 Ce 3.15
Ga (0.7500, 0.7500, 0.7500)  4 Ce 3.15, 4 Sm 3.15

Summary:
DFT formation energy, eV per atom: -0.387
Space group: No. 216


No. 7
DFT (GGA-PBE) results for a geometry-optimized CaPaZnN3 structure.

Cell: 6.0953 3.6503 8.5998 Å, 90.00 102.78 90.00°
With the nearest neighbours (Å) after each atom.
Element x y z (fractional)
Ca (0.1436, 0.2500, 0.1933)  3 N 2.40-2.47
Ca (0.8564, 0.7500, 0.8067)  3 N 2.40-2.47
Pa (0.3613, 0.2500, 0.8266)  6 N 2.22-2.42
Pa (0.6387, 0.7500, 0.1734)  6 N 2.22-2.42
Zn (0.1897, 0.7500, 0.5315)  2 N 1.92-1.94
Zn (0.8103, 0.2500, 0.4685)  2 N 1.92-1.94
N (0.0157, 0.2500, 0.6732)  1 Zn 1.92
N (0.2893, 0.7500, 0.9924)  3 Pa 2.34-2.42
N (0.4573, 0.7500, 0.7018)  1 Zn 1.94
N (0.5427, 0.2500, 0.2982)  1 Zn 1.94
N (0.7107, 0.2500, 0.0076)  3 Pa 2.34-2.42
N (0.9843, 0.7500, 0.3268)  1 Zn 1.92

Summary:
Space group: No. 11
Uncorrected formation energy, meV per atom: -1055


No. 8
DFT (GGA-PBE) results for a geometry-optimized Be4Sn structure.

Cell: 4.5793 4.5793 4.5793 Å, 90.00 90.00 90.00°
With the nearest neighbours (Å) after each atom.
Element x y z (fractional)
Be (0.0000, 0.0000, 0.0000)  12 Be 3.24
Be (0.0000, 0.5000, 0.5000)  2 Sn 2.29
Be (0.5000, 0.0000, 0.5000)  2 Sn 2.29
Be (0.5000, 0.5000, 0.0000)  2 Sn 2.29
Sn (0.5000, 0.5000, 0.5000)  6 Be 2.29

Summary:
DFT formation energy, eV per atom: 1.603
Space group: No. 221


No. 9
DFT (GGA-PBE) results for a geometry-optimized AcSbF structure.

Cell: 6.4913 6.4913 6.4913 Å, 147.44 147.44 46.72°
With the nearest neighbours (Å) after each atom.
Element x y z (fractional)
Ac (0.0000, 0.0000, 0.0000)  4 F 2.68
Sb (0.2927, 0.2927, 0.0000)  1 F 3.23, 5 Ac 3.49-3.57
F (0.5637, 0.5637, 0.0000)  4 Ac 2.68

Summary:
Space group: No. 107
Uncorrected formation energy, meV per atom: -1884


No. 10
DFT (GGA-PBE) results for a geometry-optimized TeCSe3 structure.

Cell: 5.3628 5.3628 5.3628 Å, 90.00 90.00 90.00°
With the nearest neighbours (Å) after each atom.
Element x y z (fractional)
Te (0.0000, 0.0000, 0.0000)  6 Se 2.68
C (0.5000, 0.5000, 0.5000)  12 Se 3.79
Se (0.0000, 0.0000, 0.5000)  2 Te 2.68
Se (0.0000, 0.5000, 0.0000)  2 Te 2.68
Se (0.5000, 0.0000, 0.0000)  2 Te 2.68

Summary:
Space group: No. 221
Uncorrected formation energy, meV per atom: 1948


No. 11
DFT (GGA-PBE) results for a geometry-optimized NdTm3 structure.

Cell: 7.1875 7.1875 5.6491 Å, 90.00 90.00 120.00°
With the nearest neighbours (Å) after each atom.
Element x y z (fractional)
Nd (0.3333, 0.6667, 0.2500)  12 Tm 3.52-3.59
Nd (0.6667, 0.3333, 0.7500)  12 Tm 3.52-3.59
Tm (0.1651, 0.3303, 0.7500)  8 Tm 3.49-3.63, 4 Nd 3.52-3.59
Tm (0.1651, 0.8349, 0.7500)  8 Tm 3.49-3.63, 4 Nd 3.52-3.59
Tm (0.3303, 0.1651, 0.2500)  8 Tm 3.49-3.63, 4 Nd 3.52-3.59
Tm (0.6697, 0.8349, 0.7500)  8 Tm 3.49-3.63, 4 Nd 3.52-3.59
Tm (0.8349, 0.1651, 0.2500)  8 Tm 3.49-3.63, 4 Nd 3.52-3.59
Tm (0.8349, 0.6697, 0.2500)  8 Tm 3.49-3.63, 4 Nd 3.52-3.59

Summary:
DFT formation energy, eV per atom: 0.009
Space group: No. 194


No. 12
DFT (GGA-PBE) results for a geometry-optimized NaLaGa2Pt2 structure.

Cell: 4.5056 4.5056 6.8905 Å, 90.00 90.00 120.00°
With the nearest neighbours (Å) after each atom.
Element x y z (fractional)
Na (0.0000, 0.0000, 0.0000)  6 Ga 2.90, 6 Pt 3.02
La (0.0000, 0.0000, 0.5000)  6 Pt 3.23, 6 Ga 3.38, 2 Na 3.45
Ga (0.3333, 0.6667, 0.8141)  4 Pt 2.61-2.81, 3 Na 2.90
Ga (0.6667, 0.3333, 0.1859)  4 Pt 2.61-2.81, 3 Na 2.90
Pt (0.3333, 0.6667, 0.2214)  4 Ga 2.61-2.81
Pt (0.6667, 0.3333, 0.7786)  4 Ga 2.61-2.81

Summary:
DFT formation energy, eV per atom: -0.757
Space group: No. 164